First-principles (PBE) data for GeTeRu2 after structural relaxation, as listed in Alexandria via LeMat-Bulk.

abc: 4.5092 4.5092 4.5092
angles: 60.00 60.00 60.00
With the nearest neighbours (Å) after each atom.
Sites, in units of the cell vectors:
Ge: 0.0000 0.0000 0.0000  8 Ru 2.76
Te: 0.5000 0.5000 0.5000  8 Ru 2.76
Ru: 0.2500 0.2500 0.2500  4 Te 2.76, 4 Ge 2.76
Ru: 0.7500 0.7500 0.7500  4 Te 2.76, 4 Ge 2.76

## Properties
Spin magnetization ... 0.79 μB per formula unit
Final energy ... -25.6 eV for the cell shown
Symmetry ... Fm-3m (225)
Polymorph energy (0 for the lowest one) ... 0.0 kJ/mol of atoms
E_form (uncorrected) ... 0.69 eV per formula unit



First-principles (PBE) data for GeTeRu3 after structural relaxation, as listed in Alexandria via LeMat-Bulk.

abc: 4.8432 4.8432 4.8432
angles: 90.00 90.00 90.00
With the nearest neighbours (Å) after each atom.
Sites, in units of the cell vectors:
Ge: 0.0000 0.0000 0.0000  12 Ru 3.42
Te: 0.5000 0.5000 0.5000  6 Ru 2.42
Ru: 0.0000 0.5000 0.5000  2 Te 2.42
Ru: 0.5000 0.0000 0.5000  2 Te 2.42
Ru: 0.5000 0.5000 0.0000  2 Te 2.42

## Properties
Spin magnetization ... 2.04 μB per formula unit
Final energy ... -27.9 eV for the cell shown
Symmetry ... Pm-3m (221)
Polymorph energy (0 for the lowest one) ... 53.3 kJ/mol of atoms
E_form (uncorrected) ... 7.71 eV per formula unit



First-principles (PBE) data for GeTeRu2 after structural relaxation, as listed in Alexandria via LeMat-Bulk.

abc: 7.0014 7.0014 7.0014
angles: 132.41 132.41 69.59
With the nearest neighbours (Å) after each atom.
Sites, in units of the cell vectors:
Ge: 0.0000 0.0000 0.0000  4 Ru 2.39
Ge: 0.7500 0.2500 0.5000  4 Ru 2.39
Te: 0.2500 0.7500 0.5000  4 Ru 2.54
Te: 0.5000 0.5000 0.0000  4 Ru 2.54
Ru: 0.1013 0.6250 0.9763  2 Ge 2.39, 2 Te 2.54
Ru: 0.3750 0.3513 0.4763  2 Ge 2.39, 2 Te 2.54
Ru: 0.6487 0.1250 0.0237  2 Ge 2.39, 2 Te 2.54
Ru: 0.8750 0.8987 0.5237  2 Ge 2.39, 2 Te 2.54

## Properties
Spin magnetization ... 0.00 μB per formula unit
Final energy ... -49.7 eV for the cell shown
Symmetry ... I-42d (122)
Polymorph energy (0 for the lowest one) ... 19.0 kJ/mol of atoms
E_form (uncorrected) ... 1.47 eV per formula unit



For the records above, the corresponding volume values read 65 114 92 Å³/f.u..